P | Ba3GaSn: optimized geometry, PBE.

Calculated values
density of states at the Fermi level	3.150	states/eV/f.u.
calculated volume	860.0	Å³/cell

Geometry as CIF:
```
data_Ba3GaSn
_cell_length_a 19.5040
_cell_length_b 4.3487
_cell_length_c 10.1559
_cell_angle_alpha 90.00
_cell_angle_beta 93.31
_cell_angle_gamma 90.00
_space_group_name_H-M_alt 'C 1 2 1'
_space_group_IT_number 5
_space_group_name_Hall 'C 2y'
loop_
_atom_site_label
_atom_site_type_symbol
_atom_site_fract_x
_atom_site_fract_y
_atom_site_fract_z
_atom_site_occupancy
Ba1 Ba 0.0448 0.9995 0.1689 1
Ba2 Ba 0.1050 0.5004 0.5635 1
Ba3 Ba 0.2498 0.0000 0.8123 1
Ga1 Ga 0.2204 0.0007 0.4536 1
Sn1 Sn 0.1113 0.4987 0.9180 1
```

***

Q | Ba3GaSn: optimized geometry, PBE.

Calculated values
density of states at the Fermi level	11.534	states/eV/f.u.
calculated volume	244.1	Å³/cell

Geometry as CIF:
```
data_Ba3GaSn
_cell_length_a 6.2499
_cell_length_b 6.2499
_cell_length_c 6.2499
_cell_angle_alpha 90.00
_cell_angle_beta 90.00
_cell_angle_gamma 90.00
_space_group_name_H-M_alt 'P m -3 m'
_space_group_IT_number 221
_space_group_name_Hall '-P 4 2 3'
loop_
_atom_site_label
_atom_site_type_symbol
_atom_site_fract_x
_atom_site_fract_y
_atom_site_fract_z
_atom_site_occupancy
Ba1 Ba 0.0000 0.0000 0.5000 1
Ga1 Ga 0.0000 0.0000 0.0000 1
Sn1 Sn 0.5000 0.5000 0.5000 1
```

***

Stability check: which of them is least stable? Q.

***

P | BaGa3Sn3: optimized geometry, PBE.

Calculated values
density of states at the Fermi level	3.808	states/eV/f.u.
calculated volume	384.4	Å³/cell

Geometry as CIF:
```
data_BaGa3Sn3
_cell_length_a 9.0890
_cell_length_b 9.0890
_cell_length_c 5.3726
_cell_angle_alpha 90.00
_cell_angle_beta 90.00
_cell_angle_gamma 120.00
_space_group_name_H-M_alt 'P 63/m'
_space_group_IT_number 176
_space_group_name_Hall '-P 6c'
loop_
_atom_site_label
_atom_site_type_symbol
_atom_site_fract_x
_atom_site_fract_y
_atom_site_fract_z
_atom_site_occupancy
Ba1 Ba 0.3333 0.6667 0.2500 1
Ga1 Ga 0.0474 0.8260 0.2500 1
Sn1 Sn 0.0888 0.6911 0.7500 1
```

***

Q | BaGa3Sn3: optimized geometry, PBE.

Calculated values
density of states at the Fermi level	2.701	states/eV/f.u.
calculated volume	443.1	Å³/cell

Geometry as CIF:
```
data_BaGa3Sn3
_cell_length_a 7.6236
_cell_length_b 7.6236
_cell_length_c 7.6236
_cell_angle_alpha 90.00
_cell_angle_beta 90.00
_cell_angle_gamma 90.00
_space_group_name_H-M_alt 'P m -3 n'
_space_group_IT_number 223
_space_group_name_Hall '-P 4n 2 3'
loop_
_atom_site_label
_atom_site_type_symbol
_atom_site_fract_x
_atom_site_fract_y
_atom_site_fract_z
_atom_site_occupancy
Ba1 Ba 0.0000 0.0000 0.0000 1
Ga1 Ga 0.0000 0.2500 0.5000 1
Sn1 Sn 0.0000 0.5000 0.2500 1
```

***

Stability check: which of them is least stable? P.

***

P | Ba3Ga2Sn3: optimized geometry, PBE.

Calculated values
density of states at the Fermi level	3.595	states/eV/f.u.
calculated volume	1055.8	Å³/cell

Geometry as CIF:
```
data_Ba3Ga2Sn3
_cell_length_a 4.9172
_cell_length_b 12.9511
_cell_length_c 16.5783
_cell_angle_alpha 90.00
_cell_angle_beta 90.00
_cell_angle_gamma 90.00
_space_group_name_H-M_alt 'C m c m'
_space_group_IT_number 63
_space_group_name_Hall '-C 2c 2'
loop_
_atom_site_label
_atom_site_type_symbol
_atom_site_fract_x
_atom_site_fract_y
_atom_site_fract_z
_atom_site_occupancy
Ba1 Ba 0.0000 0.0681 0.1054 1
Ba2 Ba 0.0000 0.3472 0.2500 1
Ga1 Ga 0.0000 0.2364 0.6023 1
Sn1 Sn 0.0000 0.3547 0.0438 1
Sn2 Sn 0.0000 0.3596 0.7500 1
```

***

Q | Ba3Ga2Sn3: optimized geometry, PBE.

Calculated values
density of states at the Fermi level	3.419	states/eV/f.u.
calculated volume	1040.8	Å³/cell

Geometry as CIF:
```
data_Ba3Ga2Sn3
_cell_length_a 5.4007
_cell_length_b 12.1106
_cell_length_c 15.9133
_cell_angle_alpha 90.00
_cell_angle_beta 90.00
_cell_angle_gamma 90.00
_space_group_name_H-M_alt 'C m c m'
_space_group_IT_number 63
_space_group_name_Hall '-C 2c 2'
loop_
_atom_site_label
_atom_site_type_symbol
_atom_site_fract_x
_atom_site_fract_y
_atom_site_fract_z
_atom_site_occupancy
Ba1 Ba 0.0000 0.0519 0.2500 1
Ba2 Ba 0.0000 0.1573 0.5322 1
Ga1 Ga 0.0000 0.3279 0.1668 1
Sn1 Sn 0.0000 0.2482 0.7500 1
Sn2 Sn 0.0000 0.4636 0.5937 1
```

***

Stability check: which of them is least stable? Q.

***

P | Ba3Ga2Sn4: optimized geometry, PBE.

Calculated values
density of states at the Fermi level	1.629	states/eV/f.u.
calculated volume	593.3	Å³/cell

Geometry as CIF:
```
data_Ba3Ga2Sn4
_cell_length_a 13.3751
_cell_length_b 4.7428
_cell_length_c 9.8028
_cell_angle_alpha 90.00
_cell_angle_beta 107.43
_cell_angle_gamma 90.00
_space_group_name_H-M_alt 'C 1 2/m 1'
_space_group_IT_number 12
_space_group_name_Hall '-C 2y'
loop_
_atom_site_label
_atom_site_type_symbol
_atom_site_fract_x
_atom_site_fract_y
_atom_site_fract_z
_atom_site_occupancy
Ba1 Ba 0.0000 0.0000 0.0000 1
Ba2 Ba 0.1143 0.5000 0.6829 1
Ga1 Ga 0.2082 0.5000 0.3502 1
Sn1 Sn 0.1088 0.0000 0.3923 1
Sn2 Sn 0.2073 0.5000 0.0573 1
```

***

Q | Ba3Ga2Sn4: optimized geometry, PBE.

Calculated values
density of states at the Fermi level	4.832	states/eV/f.u.
calculated volume	609.7	Å³/cell

Geometry as CIF:
```
data_Ba3Ga2Sn4
_cell_length_a 13.4220
_cell_length_b 4.6930
_cell_length_c 9.7024
_cell_angle_alpha 90.00
_cell_angle_beta 93.91
_cell_angle_gamma 90.00
_space_group_name_H-M_alt 'C 1 2/m 1'
_space_group_IT_number 12
_space_group_name_Hall '-C 2y'
loop_
_atom_site_label
_atom_site_type_symbol
_atom_site_fract_x
_atom_site_fract_y
_atom_site_fract_z
_atom_site_occupancy
Ba1 Ba 0.0000 0.0000 0.0000 1
Ba2 Ba 0.1614 0.5000 0.6621 1
Ga1 Ga 0.0745 0.5000 0.2429 1
Sn1 Sn 0.0777 0.0000 0.3986 1
Sn2 Sn 0.2411 0.5000 0.0891 1
```

***

Stability check: which of them is least stable? P.

***

P | Ba2Ga3Sn: optimized geometry, PBE.

Calculated values
density of states at the Fermi level	3.284	states/eV/f.u.
calculated volume	186.9	Å³/cell

Geometry as CIF:
```
data_Ba2Ga3Sn
_cell_length_a 4.5848
_cell_length_b 5.1424
_cell_length_c 7.9282
_cell_angle_alpha 90.00
_cell_angle_beta 90.00
_cell_angle_gamma 90.00
_space_group_name_H-M_alt 'P m m 2'
_space_group_IT_number 25
_space_group_name_Hall 'P 2 -2'
loop_
_atom_site_label
_atom_site_type_symbol
_atom_site_fract_x
_atom_site_fract_y
_atom_site_fract_z
_atom_site_occupancy
Ba1 Ba 0.0000 0.0000 0.0000 1
Ba2 Ba 0.5000 0.0000 0.4952 1
Ga1 Ga 0.0000 0.5000 0.3150 1
Ga2 Ga 0.5000 0.5000 0.1692 1
Ga3 Ga 0.5000 0.5000 0.8491 1
Sn1 Sn 0.0000 0.5000 0.6626 1
```

***

Q | Ba2Ga3Sn: optimized geometry, PBE.

Calculated values
density of states at the Fermi level	3.066	states/eV/f.u.
calculated volume	1493.7	Å³/cell

Geometry as CIF:
```
data_Ba2Ga3Sn
_cell_length_a 9.1412
_cell_length_b 10.3128
_cell_length_c 15.8449
_cell_angle_alpha 90.00
_cell_angle_beta 90.00
_cell_angle_gamma 90.00
_space_group_name_H-M_alt 'F m m m'
_space_group_IT_number 69
_space_group_name_Hall '-F 2 2'
loop_
_atom_site_label
_atom_site_type_symbol
_atom_site_fract_x
_atom_site_fract_y
_atom_site_fract_z
_atom_site_occupancy
Ba1 Ba 0.0000 0.2425 0.0000 1
Ba2 Ba 0.2500 0.2500 0.2500 1
Ga1 Ga 0.0000 0.0000 0.3410 1
Ga2 Ga 0.2396 0.0000 0.4201 1
Sn1 Sn 0.0000 0.0000 0.1678 1
```

***

Stability check: which of them is least stable? P.

***

P | Ba8GaSn2: optimized geometry, PBE.

Calculated values
density of states at the Fermi level	9.857	states/eV/f.u.
calculated volume	1007.9	Å³/cell

Geometry as CIF:
```
data_Ba8GaSn2
_cell_length_a 21.7250
_cell_length_b 5.9418
_cell_length_c 8.1085
_cell_angle_alpha 90.00
_cell_angle_beta 105.65
_cell_angle_gamma 90.00
_space_group_name_H-M_alt 'C 1 2/m 1'
_space_group_IT_number 12
_space_group_name_Hall '-C 2y'
loop_
_atom_site_label
_atom_site_type_symbol
_atom_site_fract_x
_atom_site_fract_y
_atom_site_fract_z
_atom_site_occupancy
Ba1 Ba 0.0292 0.0000 0.2961 1
Ba2 Ba 0.0931 0.5000 0.9342 1
Ba3 Ba 0.1586 0.5000 0.4535 1
Ba4 Ba 0.2090 0.0000 0.8027 1
Ga1 Ga 0.0000 0.5000 0.5000 1
Sn1 Sn 0.1887 0.0000 0.2182 1
```

***

Q | Ba8GaSn2: optimized geometry, PBE.

Calculated values
density of states at the Fermi level	11.002	states/eV/f.u.
calculated volume	964.5	Å³/cell

Geometry as CIF:
```
data_Ba8GaSn2
_cell_length_a 5.8111
_cell_length_b 9.9116
_cell_length_c 16.7463
_cell_angle_alpha 90.00
_cell_angle_beta 90.00
_cell_angle_gamma 90.00
_space_group_name_H-M_alt 'I m m m'
_space_group_IT_number 71
_space_group_name_Hall '-I 2 2'
loop_
_atom_site_label
_atom_site_type_symbol
_atom_site_fract_x
_atom_site_fract_y
_atom_site_fract_z
_atom_site_occupancy
Ba1 Ba 0.0000 0.0000 0.1356 1
Ba2 Ba 0.0000 0.2238 0.3461 1
Ba3 Ba 0.0000 0.3319 0.0000 1
Ga1 Ga 0.0000 0.5000 0.5000 1
Sn1 Sn 0.0000 0.5000 0.1967 1
```

***

Stability check: which of them is least stable? Q.